Computed, not measured: a geometry-optimized Sr3Mo2Cl3 structure at the PBE level of DFT.

Calculated values
Spin magnetization ... 5.4 μB per cell
Raw total energy ... -3.858 eV per atom

extended XYZ file:
```
8
Lattice="4.756 0.000 0.000 0.000 4.756 0.000 0.000 0.000 12.059" Properties=species:S:1:pos:R:3 pbc="T T T"
Sr 0.000 0.000 0.000
Sr 0.000 0.000 6.030
Sr 2.378 2.378 0.000
Mo 0.000 2.378 9.642
Mo 2.378 0.000 2.417
Cl 2.378 2.378 2.846
Cl 2.378 2.378 6.030
Cl 2.378 2.378 9.214
```

---

Computed, not measured: a geometry-optimized Ta3MoCl structure at the PBE level of DFT.

Calculated values
Spin magnetization ... 0.0 μB per cell
Raw total energy ... -9.095 eV per atom

extended XYZ file:
```
10
Lattice="6.235 0.000 0.000 -3.117 5.400 0.000 0.000 0.000 5.487" Properties=species:S:1:pos:R:3 pbc="T T T"
Ta -0.772 1.384 1.372
Ta -2.305 4.039 4.115
Ta 0.772 1.384 4.115
Ta -1.533 5.376 1.372
Ta 2.305 4.039 1.372
Ta 1.533 5.376 4.115
Mo 3.117 1.800 0.000
Mo 3.117 1.800 2.743
Cl 0.000 3.600 0.000
Cl 0.000 3.600 2.743
```

---

Computed, not measured: a geometry-optimized TlMoCl6 structure at the PBE level of DFT.

Calculated values
Spin magnetization ... 1.0 μB per cell
Raw total energy ... -3.852 eV per atom

extended XYZ file:
```
8
Lattice="0.000 5.451 5.451 5.451 0.000 5.451 5.451 5.451 0.000" Properties=species:S:1:pos:R:3 pbc="T T T"
Tl 0.000 0.000 0.000
Mo 5.451 5.451 5.451
Cl 5.451 5.451 3.107
Cl 5.451 3.107 5.451
Cl 7.795 5.451 5.451
Cl 3.107 5.451 5.451
Cl 5.451 7.795 5.451
Cl 5.451 5.451 7.795
```

---

Computed, not measured: a geometry-optimized NaW6NCl18 structure at the PBE level of DFT.

Calculated values
Spin magnetization ... 0.0 μB per cell
Raw total energy ... -5.526 eV per atom

extended XYZ file:
```
52
Lattice="9.160 0.000 0.000 -4.580 7.933 0.000 0.000 0.000 18.226" Properties=species:S:1:pos:R:3 pbc="T T T"
Na 0.000 0.000 0.000
Na 0.000 0.000 9.113
W -0.560 3.857 3.007
W -0.560 3.857 6.106
W -0.960 6.489 3.007
W -0.960 6.489 6.106
W 3.061 2.413 12.120
W 3.061 2.413 15.219
W 1.519 5.519 3.007
W 1.519 5.519 6.106
W 5.539 1.444 12.120
W 5.539 1.444 15.219
W 5.139 4.075 12.120
W 5.139 4.075 15.219
N 0.000 5.288 4.557
N 4.580 2.644 13.670
Cl -3.231 6.070 10.975
Cl -3.231 6.070 16.364
Cl -2.150 4.526 13.670
Cl -2.867 6.385 4.557
Cl -1.852 5.011 1.337
Cl -1.852 5.011 7.776
Cl 0.484 2.257 4.557
Cl 0.939 2.100 10.975
Cl 0.939 2.100 16.364
Cl 2.288 0.237 1.862
Cl 2.288 0.237 7.251
Cl 2.197 0.709 13.670
Cl 1.166 3.824 1.337
Cl 1.166 3.824 7.776
Cl 1.735 3.807 13.670
Cl 4.165 0.401 4.557
Cl 3.894 0.902 10.450
Cl 3.894 0.902 16.889
Cl 0.686 7.031 1.337
Cl 0.686 7.031 7.776
Cl 0.415 7.531 13.670
Cl 2.845 4.125 4.557
Cl 3.414 4.109 10.450
Cl 3.414 4.109 16.889
Cl 2.383 7.223 4.557
Cl 2.292 7.696 10.975
Cl 2.292 7.696 16.364
Cl 3.641 5.833 1.862
Cl 3.641 5.833 7.251
Cl 4.096 5.676 13.670
Cl 6.432 2.922 10.450
Cl 6.432 2.922 16.889
Cl 7.447 1.548 13.670
Cl 6.730 3.406 4.557
Cl 7.811 1.863 1.862
Cl 7.811 1.863 7.251
```

---

Computed, not measured: a geometry-optimized NbP2NCl12 structure at the PBE level of DFT.

Calculated values
Spin magnetization ... 0.0 μB per cell
Raw total energy ... -4.084 eV per atom

extended XYZ file:
```
32
Lattice="6.965 -4.485 0.000 6.965 4.485 0.000 -3.746 0.000 15.315" Properties=species:S:1:pos:R:3 pbc="T T T"
Nb 0.000 0.000 0.000
Nb -1.873 0.000 7.658
P 2.698 0.635 11.169
P 4.571 -0.635 3.511
P 5.613 0.635 11.804
P 7.486 -0.635 4.147
N 4.155 1.104 11.486
N 6.029 -1.104 3.829
Cl 0.376 0.189 2.342
Cl -1.497 -0.189 10.000
Cl 1.839 1.887 9.923
Cl -1.438 0.500 14.898
Cl 0.435 -0.500 7.240
Cl 4.578 2.159 7.532
Cl 4.475 1.174 2.689
Cl 1.563 0.583 12.791
Cl 7.479 2.159 0.126
Cl 3.436 -0.583 5.134
Cl 6.472 1.887 13.049
Cl 2.602 -1.174 10.347
Cl 7.582 1.174 4.968
Cl 3.712 -1.887 2.266
Cl 6.748 0.583 10.182
Cl 2.705 -2.159 15.189
Cl 8.621 -0.583 2.524
Cl 5.709 -1.174 12.626
Cl 5.606 -2.159 7.783
Cl 9.749 0.500 8.075
Cl 11.622 -0.500 0.418
Cl 8.345 -1.887 5.392
Cl 11.681 0.189 5.315
Cl 9.808 -0.189 12.973
```

---

Computed, not measured: a geometry-optimized Nd4N2Cl5 structure at the PBE level of DFT.

Calculated values
Spin magnetization ... 0.0 μB per cell
Raw total energy ... -5.807 eV per atom

extended XYZ file:
```
11
Lattice="-1.817 3.981 8.439 1.817 -3.981 8.439 1.817 3.981 -8.439" Properties=species:S:1:pos:R:3 pbc="T T T"
Nd 0.000 0.000 3.032
Nd 1.817 1.645 0.000
Nd 0.000 2.336 8.439
Nd 0.000 0.000 13.846
N 0.000 0.000 0.703
N 0.000 0.000 16.176
Cl 1.817 2.287 -2.807
Cl 1.817 2.287 2.807
Cl 0.000 3.981 0.000
Cl 0.000 1.694 5.633
Cl 0.000 1.694 11.246
```

---

Computed, not measured: a geometry-optimized Nd4N2Cl5 structure at the PBE level of DFT.

Calculated values
Spin magnetization ... 0.0 μB per cell
Raw total energy ... -5.806 eV per atom

extended XYZ file:
```
11
Lattice="9.340 -1.809 0.000 9.340 1.809 0.000 -3.388 0.000 7.206" Properties=species:S:1:pos:R:3 pbc="T T T"
Nd -0.700 0.000 1.489
Nd -2.688 0.000 5.718
Nd 3.202 0.000 5.913
Nd 12.092 0.000 1.293
N 5.318 0.000 6.907
N 9.975 0.000 0.299
Cl 1.574 0.000 3.264
Cl 0.132 0.000 6.332
Cl 7.647 0.000 3.603
Cl 15.162 0.000 0.874
Cl 13.719 0.000 3.942
```

---

Computed, not measured: a geometry-optimized Nd4NCl5 structure at the PBE level of DFT.

Calculated values
Spin magnetization ... 0.0 μB per cell
Raw total energy ... -5.543 eV per atom

extended XYZ file:
```
10
Lattice="8.743 -1.900 0.000 8.743 1.900 0.000 -1.995 0.000 7.775" Properties=species:S:1:pos:R:3 pbc="T T T"
Nd -0.545 0.000 2.251
Nd 5.385 0.000 3.240
Nd 10.107 0.000 4.536
Nd 16.037 0.000 5.524
N 7.746 0.000 3.888
Cl 1.158 0.000 6.603
Cl 2.332 0.000 2.607
Cl 8.743 0.000 0.000
Cl 13.159 0.000 5.168
Cl 14.333 0.000 1.172
```

---

Computed, not measured: a geometry-optimized Pr3NdN2Cl2 structure at the PBE level of DFT.

Calculated values
Spin magnetization ... 0.0 μB per cell
Raw total energy ... -6.467 eV per atom

extended XYZ file:
```
8
Lattice="3.697 0.000 0.000 -1.849 3.202 0.000 0.000 0.000 14.207" Properties=species:S:1:pos:R:3 pbc="T T T"
Pr 0.000 0.000 0.000
Pr 0.000 0.000 4.406
Pr 1.849 1.067 7.110
Nd 1.849 1.067 11.533
N 0.000 2.135 5.758
N 0.000 2.135 12.815
Cl 0.000 0.000 9.339
Cl 1.849 1.067 2.203
```

---

Computed, not measured: a geometry-optimized PrNdNCl structure at the PBE level of DFT.

Calculated values
Spin magnetization ... 0.0 μB per cell
Raw total energy ... -6.470 eV per atom

extended XYZ file:
```
8
Lattice="3.691 0.000 0.000 -1.845 3.196 0.000 0.000 0.000 14.175" Properties=species:S:1:pos:R:3 pbc="T T T"
Pr 0.000 0.000 2.195
Pr 0.000 0.000 11.980
Nd 1.845 1.065 4.877
Nd 1.845 1.065 9.298
N 0.000 2.131 3.594
N 0.000 2.131 10.581
Cl 0.000 0.000 7.087
Cl 1.845 1.065 0.000
```

---

Computed, not measured: a geometry-optimized PrNdNCl structure at the PBE level of DFT.

Calculated values
Spin magnetization ... 0.0 μB per cell
Raw total energy ... -6.469 eV per atom

extended XYZ file:
```
8
Lattice="3.689 0.000 0.000 -1.844 3.195 0.000 0.000 0.000 14.166" Properties=species:S:1:pos:R:3 pbc="T T T"
Pr 0.000 2.130 5.728
Pr 1.844 1.065 8.438
Nd 0.000 2.130 1.325
Nd 1.844 1.065 12.841
N 0.000 0.000 0.000
N 0.000 0.000 7.083
Cl 0.000 2.130 10.668
Cl 1.844 1.065 3.499
```

---

Computed, not measured: a geometry-optimized PrNdNCl structure at the PBE level of DFT.

Calculated values
Spin magnetization ... 0.0 μB per cell
Raw total energy ... -6.470 eV per atom

extended XYZ file:
```
8
Lattice="3.689 0.000 0.000 -1.844 3.194 0.000 0.000 0.000 14.168" Properties=species:S:1:pos:R:3 pbc="T T T"
Pr 0.000 2.130 0.000
Pr 1.844 1.065 7.084
Nd 0.000 2.130 4.403
Nd 1.844 1.065 11.487
N 0.000 0.000 5.688
N 0.000 0.000 12.772
Cl 0.000 2.130 9.303
Cl 1.844 1.065 2.219
```

---

The highest raw total energy belongs to which entry? TlMoCl6

---

Look up the spin magnetization of the tenth one. 0.0 μB per cell